(1)
# CsZn2F, optimized geometry, DFT GGA-PBE
# - Raw total energy: -2.0152 eV per atom
# - Volume: 259 Å³/cell
# - Symmetry: I-42d
data_CsZn2F
_cell_length_a 7.3823
_cell_length_b 7.3823
_cell_length_c 7.3823
_cell_angle_alpha 98.03
_cell_angle_beta 98.03
_cell_angle_gamma 136.10
_symmetry_space_group_name_H-M 'P 1'
_symmetry_Int_Tables_number 1
loop_
_symmetry_equiv_pos_as_xyz
'x,y,z'
loop_
_atom_site_label
_atom_site_type_symbol
_atom_site_fract_x
_atom_site_fract_y
_atom_site_fract_z
_atom_site_occupancy
Cs1 Cs 0.0000 0.0000 0.0000 1
Cs2 Cs 0.7500 0.2500 0.5000 1
Zn1 Zn 0.1796 0.1250 0.5546 1
Zn2 Zn 0.3750 0.8204 0.9454 1
Zn3 Zn 0.5704 0.6250 0.4454 1
Zn4 Zn 0.8750 0.4296 0.0546 1
F1 F 0.2500 0.7500 0.5000 1
F2 F 0.5000 0.5000 0.0000 1

(2)
# CsZn3F, optimized geometry, DFT GGA-PBE
# - Raw total energy: -1.5460 eV per atom
# - Volume: 155 Å³/cell
# - Symmetry: Pm-3m
data_CsZn3F
_cell_length_a 5.3768
_cell_length_b 5.3768
_cell_length_c 5.3768
_cell_angle_alpha 90.00
_cell_angle_beta 90.00
_cell_angle_gamma 90.00
_symmetry_space_group_name_H-M 'P 1'
_symmetry_Int_Tables_number 1
loop_
_symmetry_equiv_pos_as_xyz
'x,y,z'
loop_
_atom_site_label
_atom_site_type_symbol
_atom_site_fract_x
_atom_site_fract_y
_atom_site_fract_z
_atom_site_occupancy
Cs1 Cs 0.0000 0.0000 0.0000 1
Zn1 Zn 0.0000 0.5000 0.5000 1
Zn2 Zn 0.5000 0.0000 0.5000 1
Zn3 Zn 0.5000 0.5000 0.0000 1
F1 F 0.5000 0.5000 0.5000 1

(3)
# CsZn2F, optimized geometry, DFT GGA-PBE
# - Raw total energy: -1.7526 eV per atom
# - Volume: 132 Å³/cell
# - Symmetry: Fm-3m
data_CsZn2F
_cell_length_a 5.7103
_cell_length_b 5.7103
_cell_length_c 5.7103
_cell_angle_alpha 60.00
_cell_angle_beta 60.00
_cell_angle_gamma 60.00
_symmetry_space_group_name_H-M 'P 1'
_symmetry_Int_Tables_number 1
loop_
_symmetry_equiv_pos_as_xyz
'x,y,z'
loop_
_atom_site_label
_atom_site_type_symbol
_atom_site_fract_x
_atom_site_fract_y
_atom_site_fract_z
_atom_site_occupancy
Cs1 Cs 0.0000 0.0000 0.0000 1
Zn1 Zn 0.2500 0.2500 0.2500 1
Zn2 Zn 0.7500 0.7500 0.7500 1
F1 F 0.5000 0.5000 0.5000 1

(4)
# Cs3Zn2F9, optimized geometry, DFT GGA-PBE
# - Raw total energy: -3.7912 eV per atom
# - Volume: 549 Å³/cell
# - Symmetry: R-3c
data_Cs3Zn2F9
_cell_length_a 8.2271
_cell_length_b 8.2271
_cell_length_c 8.2271
_cell_angle_alpha 84.19
_cell_angle_beta 84.19
_cell_angle_gamma 84.19
_symmetry_space_group_name_H-M 'P 1'
_symmetry_Int_Tables_number 1
loop_
_symmetry_equiv_pos_as_xyz
'x,y,z'
loop_
_atom_site_label
_atom_site_type_symbol
_atom_site_fract_x
_atom_site_fract_y
_atom_site_fract_z
_atom_site_occupancy
Cs1 Cs 0.0940 0.7500 0.4060 1
Cs2 Cs 0.2500 0.5940 0.9060 1
Cs3 Cs 0.4060 0.0940 0.7500 1
Cs4 Cs 0.5940 0.9060 0.2500 1
Cs5 Cs 0.7500 0.4060 0.0940 1
Cs6 Cs 0.9060 0.2500 0.5940 1
Zn1 Zn 0.1578 0.1578 0.1578 1
Zn2 Zn 0.3422 0.3422 0.3422 1
Zn3 Zn 0.6578 0.6578 0.6578 1
Zn4 Zn 0.8422 0.8422 0.8422 1
F1 F 0.0530 0.9040 0.7459 1
F2 F 0.0960 0.2541 0.9470 1
F3 F 0.1141 0.3859 0.2500 1
F4 F 0.2459 0.4040 0.5530 1
F5 F 0.2500 0.1141 0.3859 1
F6 F 0.2541 0.9470 0.0960 1
F7 F 0.3859 0.2500 0.1141 1
F8 F 0.4040 0.5530 0.2459 1
F9 F 0.4470 0.7541 0.5960 1
F10 F 0.5530 0.2459 0.4040 1
F11 F 0.5960 0.4470 0.7541 1
F12 F 0.6141 0.7500 0.8859 1
F13 F 0.7459 0.0530 0.9040 1
F14 F 0.7500 0.8859 0.6141 1
F15 F 0.7541 0.5960 0.4470 1
F16 F 0.8859 0.6141 0.7500 1
F17 F 0.9040 0.7459 0.0530 1
F18 F 0.9470 0.0960 0.2541 1

(5)
# Cs3ZnF, optimized geometry, DFT GGA-PBE
# - Raw total energy: -2.0687 eV per atom
# - Volume: 229 Å³/cell
# - Symmetry: Pm-3m
data_Cs3ZnF
_cell_length_a 6.1158
_cell_length_b 6.1158
_cell_length_c 6.1158
_cell_angle_alpha 90.00
_cell_angle_beta 90.00
_cell_angle_gamma 90.00
_symmetry_space_group_name_H-M 'P 1'
_symmetry_Int_Tables_number 1
loop_
_symmetry_equiv_pos_as_xyz
'x,y,z'
loop_
_atom_site_label
_atom_site_type_symbol
_atom_site_fract_x
_atom_site_fract_y
_atom_site_fract_z
_atom_site_occupancy
Cs1 Cs 0.0000 0.0000 0.5000 1
Cs2 Cs 0.0000 0.5000 0.0000 1
Cs3 Cs 0.5000 0.0000 0.0000 1
Zn1 Zn 0.5000 0.5000 0.5000 1
F1 F 0.0000 0.0000 0.0000 1

(6)
# Cs3Zn2F6, optimized geometry, DFT GGA-PBE
# - Raw total energy: -3.7935 eV per atom
# - Volume: 232 Å³/cell
# - Symmetry: I4/mmm
data_Cs3Zn2F6
_cell_length_a 12.6105
_cell_length_b 12.6105
_cell_length_c 12.6105
_cell_angle_alpha 160.13
_cell_angle_beta 160.13
_cell_angle_gamma 28.24
_symmetry_space_group_name_H-M 'P 1'
_symmetry_Int_Tables_number 1
loop_
_symmetry_equiv_pos_as_xyz
'x,y,z'
loop_
_atom_site_label
_atom_site_type_symbol
_atom_site_fract_x
_atom_site_fract_y
_atom_site_fract_z
_atom_site_occupancy
Cs1 Cs 0.0000 0.0000 0.0000 1
Cs2 Cs 0.1845 0.1845 0.0000 1
Cs3 Cs 0.8155 0.8155 0.0000 1
Zn1 Zn 0.3978 0.3978 0.0000 1
Zn2 Zn 0.6022 0.6022 0.0000 1
F1 F 0.0918 0.5918 0.5000 1
F2 F 0.3144 0.3144 0.0000 1
F3 F 0.4082 0.9082 0.5000 1
F4 F 0.5918 0.0918 0.5000 1
F5 F 0.6856 0.6856 0.0000 1
F6 F 0.9082 0.4082 0.5000 1

(7)
# Cs3Zn2F7, optimized geometry, DFT GGA-PBE
# - Raw total energy: -4.0476 eV per atom
# - Volume: 226 Å³/cell
# - Symmetry: Cmmm
data_Cs3Zn2F7
_cell_length_a 12.3819
_cell_length_b 12.3819
_cell_length_c 4.2746
_cell_angle_alpha 90.00
_cell_angle_beta 90.00
_cell_angle_gamma 159.84
_symmetry_space_group_name_H-M 'P 1'
_symmetry_Int_Tables_number 1
loop_
_symmetry_equiv_pos_as_xyz
'x,y,z'
loop_
_atom_site_label
_atom_site_type_symbol
_atom_site_fract_x
_atom_site_fract_y
_atom_site_fract_z
_atom_site_occupancy
Cs1 Cs 0.0000 0.0000 0.0000 1
Cs2 Cs 0.1769 0.8231 0.0000 1
Cs3 Cs 0.8231 0.1769 0.0000 1
Zn1 Zn 0.4127 0.5873 0.5000 1
Zn2 Zn 0.5873 0.4127 0.5000 1
F1 F 0.0885 0.9115 0.5000 1
F2 F 0.3299 0.6701 0.5000 1
F3 F 0.4117 0.5883 0.0000 1
F4 F 0.5000 0.5000 0.5000 1
F5 F 0.5883 0.4117 0.0000 1
F6 F 0.6701 0.3299 0.5000 1
F7 F 0.9115 0.0885 0.5000 1

(8)
# Cs2ZrZnF6, optimized geometry, DFT GGA-PBE
# - Raw total energy: -5.1748 eV per atom
# - Volume: 248 Å³/cell
# - Symmetry: Fm-3m
data_Cs2ZrZnF6
_cell_length_a 7.0510
_cell_length_b 7.0510
_cell_length_c 7.0510
_cell_angle_alpha 60.00
_cell_angle_beta 60.00
_cell_angle_gamma 60.00
_symmetry_space_group_name_H-M 'P 1'
_symmetry_Int_Tables_number 1
loop_
_symmetry_equiv_pos_as_xyz
'x,y,z'
loop_
_atom_site_label
_atom_site_type_symbol
_atom_site_fract_x
_atom_site_fract_y
_atom_site_fract_z
_atom_site_occupancy
Cs1 Cs 0.2500 0.2500 0.2500 1
Cs2 Cs 0.7500 0.7500 0.7500 1
Zr1 Zr 0.0000 0.0000 0.0000 1
Zn1 Zn 0.5000 0.5000 0.5000 1
F1 F 0.2047 0.2047 0.7953 1
F2 F 0.2047 0.7953 0.2047 1
F3 F 0.2047 0.7953 0.7953 1
F4 F 0.7953 0.2047 0.2047 1
F5 F 0.7953 0.2047 0.7953 1
F6 F 0.7953 0.7953 0.2047 1

Theoretical density: 3.629 3.719 3.566 4.239 3.507 4.615 4.870 3.594 (g/cm³)